Computed, not measured: a relaxed structure of FePH6NO5 at the GGA+U level of DFT.

Summary:
The value obtained for the energy is -5.88 eV per atom. The total magnetization comes out at 0.286 μB per atom. Its density of states at the Fermi level is 0.0 states/eV/f.u. The calculation puts the density at 2.48 g/cm³.

Cell lengths 4.891, 5.706, 8.989 Å; angles 89.85, 89.95, 86.90 degrees
Space group P1 (No. 1)
Symmetry-distinct sites (fractional):
1 Fe 0.000 0.000 0.000 [1 per cell]
2 Fe 0.493 0.491 0.046 [1 per cell]
3 P 0.430 0.992 0.218 [1 per cell]
4 P 0.933 0.509 0.826 [1 per cell]
5 H 0.053 0.011 0.475 [1 per cell]
6 H 0.198 0.512 0.566 [1 per cell]
7 H 0.352 0.177 0.820 [1 per cell]
8 H 0.376 0.688 0.449 [1 per cell]
9 H 0.393 0.391 0.427 [1 per cell]
10 H 0.471 0.910 0.835 [1 per cell]
11 H 0.552 0.512 0.574 [1 per cell]
12 H 0.700 0.013 0.480 [1 per cell]
13 H 0.864 0.659 0.225 [1 per cell]
14 H 0.876 0.193 0.595 [1 per cell]
15 H 0.890 0.898 0.623 [1 per cell]
16 H 0.960 0.390 0.212 [1 per cell]
17 N 0.378 0.525 0.504 [1 per cell]
18 N 0.879 0.028 0.543 [1 per cell]
19 O 0.244 0.490 0.852 [1 per cell]
20 O 0.275 0.211 0.143 [1 per cell]
21 O 0.294 0.777 0.144 [1 per cell]
22 O 0.303 0.011 0.817 [1 per cell]
23 O 0.379 0.992 0.389 [1 per cell]
24 O 0.739 0.984 0.188 [1 per cell]
25 O 0.791 0.310 0.915 [1 per cell]
26 O 0.797 0.746 0.885 [1 per cell]
27 O 0.800 0.498 0.234 [1 per cell]
28 O 0.876 0.487 0.656 [1 per cell]